Entry 1:
Computed, not measured: a geometry-optimized NaBePbCl5 structure at the GGA-PBE level of DFT.

Properties
density of states at the Fermi level = 0.00 states/eV/cell
E_form (uncorrected) = -1394 meV per atom

Cell lengths 8.9995, 11.0353, 10.1208 Å; angles 90.00, 114.40, 90.00 degrees
With the nearest neighbours (Å) after each atom.
Space group C2/c (No. 15)
Unique sites:
Na: 0.0000 0.1402 0.2500 (multiplicity 4)  3 Cl 2.68-2.80
Be: 0.0000 0.1781 0.7500 (multiplicity 4)  4 Cl 2.03-2.06
Pb: 0.0000 0.5000 0.0000 (multiplicity 4)  6 Cl 2.84-2.99
Cl: 0.0000 0.3832 0.2500 (multiplicity 4)  1 Na 2.68, 2 Pb 2.84
Cl: 0.1331 0.2816 0.6722 (multiplicity 8)  1 Be 2.03
Cl: 0.1496 0.0653 0.9134 (multiplicity 8)  1 Be 2.06

=====

Entry 2:
Computed, not measured: a geometry-optimized Rb2NaBeCl6 structure at the GGA-PBE level of DFT.

Properties
density of states at the Fermi level = 37.34 states/eV/cell
E_form (uncorrected) = -1410 meV per atom

Cell lengths 10.1215, 10.1215, 10.1215 Å; angles 90.00, 90.00, 90.00 degrees
With the nearest neighbours (Å) after each atom.
Space group Fm-3m (No. 225)
Unique sites:
Rb: 0.2500 0.2500 0.2500 (multiplicity 8)  12 Cl 3.59
Na: 0.0000 0.0000 0.0000 (multiplicity 4)  6 Cl 2.78
Be: 0.0000 0.0000 0.5000 (multiplicity 4)  6 Cl 2.28
Cl: 0.0000 0.0000 0.2745 (multiplicity 24)  1 Be 2.28

=====

Entry 3:
Computed, not measured: a geometry-optimized RbNaBeCl4 structure at the GGA-PBE level of DFT.

Properties
density of states at the Fermi level = 0.00 states/eV/cell
E_form (uncorrected) = -1728 meV per atom

Cell lengths 6.4984, 6.9419, 8.7564 Å; angles 90.00, 108.53, 90.00 degrees
With the nearest neighbours (Å) after each atom.
Space group P2_1/m (No. 11)
Unique sites:
Rb: 0.2218 0.2500 0.4277 (multiplicity 2)  8 Cl 3.30-3.58
Na: 0.2836 0.2500 0.9526 (multiplicity 2)  6 Cl 2.79-2.98
Be: 0.2864 0.7500 0.1834 (multiplicity 2)  4 Cl 2.02-2.04
Cl: 0.0882 0.7500 0.9530 (multiplicity 2)  1 Be 2.02
Cl: 0.1088 0.7500 0.3386 (multiplicity 2)  1 Be 2.04
Cl: 0.4864 0.5152 0.2218 (multiplicity 4)  1 Be 2.04

=====

Entry 4:
Computed, not measured: a geometry-optimized NaBe2ReCl structure at the GGA-PBE level of DFT.

Properties
density of states at the Fermi level = 3.03 states/eV/cell
E_form (uncorrected) = 1051 meV per atom

Cell lengths 4.3093, 4.3093, 7.2359 Å; angles 90.00, 90.00, 90.00 degrees
With the nearest neighbours (Å) after each atom.
Space group P4/mmm (No. 123)
Unique sites:
Na: 0.0000 0.0000 0.0000 (multiplicity 1)  4 Cl 3.05
Be: 0.0000 0.5000 0.5000 (multiplicity 2)  2 Re 2.15
Re: 0.0000 0.0000 0.5000 (multiplicity 1)  4 Be 2.15
Cl: 0.5000 0.5000 0.0000 (multiplicity 1)  4 Na 3.05

=====

Entry 5:
Computed, not measured: a geometry-optimized NaBeSCl2 structure at the GGA-PBE level of DFT.

Properties
density of states at the Fermi level = 3.80 states/eV/cell
E_form (uncorrected) = 488 meV per atom

Cell lengths 4.9055, 4.9055, 5.2480 Å; angles 90.00, 90.00, 90.00 degrees
With the nearest neighbours (Å) after each atom.
Space group P4/mmm (No. 123)
Unique sites:
Na: 0.0000 0.0000 0.0000 (multiplicity 1)  4 Cl 2.45, 2 S 2.62
Be: 0.5000 0.5000 0.5000 (multiplicity 1)  4 S 3.47, 8 Cl 3.59
S: 0.0000 0.0000 0.5000 (multiplicity 1)  2 Na 2.62
Cl: 0.0000 0.5000 0.0000 (multiplicity 2)  2 Na 2.45

=====

Entry 6:
Computed, not measured: a geometry-optimized NaBeS2Cl structure at the GGA-PBE level of DFT.

Properties
density of states at the Fermi level = 2.18 states/eV/cell
E_form (uncorrected) = -524 meV per atom

Cell lengths 4.0665, 4.0665, 6.7947 Å; angles 90.00, 90.00, 90.00 degrees
With the nearest neighbours (Å) after each atom.
Space group P4/mmm (No. 123)
Unique sites:
Na: 0.0000 0.0000 0.0000 (multiplicity 1)  4 Cl 2.88
Be: 0.5000 0.5000 0.5000 (multiplicity 1)  4 S 2.03
S: 0.0000 0.5000 0.5000 (multiplicity 2)  2 Be 2.03
Cl: 0.5000 0.5000 0.0000 (multiplicity 1)  4 Na 2.88

=====

Entry 7:
Computed, not measured: a geometry-optimized NaBeS2Cl structure at the GGA-PBE level of DFT.

Properties
density of states at the Fermi level = 5.29 states/eV/cell
E_form (uncorrected) = 931 meV per atom

Cell lengths 5.0751, 5.0751, 4.8519 Å; angles 90.00, 90.00, 90.00 degrees
With the nearest neighbours (Å) after each atom.
Space group P4/mmm (No. 123)
Unique sites:
Na: 0.0000 0.0000 0.0000 (multiplicity 1)  2 Cl 2.43, 4 S 2.54
Be: 0.5000 0.5000 0.5000 (multiplicity 1)  8 S 3.51, 4 Cl 3.59
S: 0.0000 0.5000 0.0000 (multiplicity 2)  2 Na 2.54
Cl: 0.0000 0.0000 0.5000 (multiplicity 1)  2 Na 2.43

=====

Entry 8:
Computed, not measured: a geometry-optimized NaBeSCl2 structure at the GGA-PBE level of DFT.

Properties
density of states at the Fermi level = 1.83 states/eV/cell
E_form (uncorrected) = -766 meV per atom

Cell lengths 4.8929, 4.8929, 4.1573 Å; angles 90.00, 90.00, 90.00 degrees
With the nearest neighbours (Å) after each atom.
Space group P4/mmm (No. 123)
Unique sites:
Na: 0.0000 0.0000 0.0000 (multiplicity 1)  8 Cl 3.21, 4 S 3.46
Be: 0.5000 0.5000 0.5000 (multiplicity 1)  2 S 2.08
S: 0.5000 0.5000 0.0000 (multiplicity 1)  2 Be 2.08
Cl: 0.0000 0.5000 0.5000 (multiplicity 2)  2 Be 2.45

=====

Entry 9:
Computed, not measured: a geometry-optimized NaBeSiCl2 structure at the GGA-PBE level of DFT.

Properties
density of states at the Fermi level = 3.54 states/eV/cell
E_form (uncorrected) = 661 meV per atom

Cell lengths 4.8767, 4.8767, 5.6543 Å; angles 90.00, 90.00, 90.00 degrees
With the nearest neighbours (Å) after each atom.
Space group P4/mmm (No. 123)
Unique sites:
Na: 0.0000 0.0000 0.0000 (multiplicity 1)  4 Cl 2.44
Be: 0.5000 0.5000 0.5000 (multiplicity 1)  4 Si 3.45, 8 Cl 3.73
Si: 0.0000 0.0000 0.5000 (multiplicity 1)  2 Na 2.83
Cl: 0.0000 0.5000 0.0000 (multiplicity 2)  2 Na 2.44

=====

Entry 10:
Computed, not measured: a geometry-optimized NaBe2TlCl6 structure at the GGA-PBE level of DFT.

Properties
density of states at the Fermi level = 0.00 states/eV/cell
E_form (uncorrected) = -1416 meV per atom

Cell lengths 12.7316, 12.1735, 6.6155 Å; angles 90.00, 103.82, 90.00 degrees
With the nearest neighbours (Å) after each atom.
Space group C2/c (No. 15)
Unique sites:
Na: 0.0000 0.1082 0.2500 (multiplicity 4)  6 Cl 2.80-2.88
Be: 0.2190 0.4164 0.2711 (multiplicity 8)  4 Cl 1.98-2.13
Tl: 0.0000 0.3118 0.7500 (multiplicity 4)  8 Cl 3.20-3.47
Cl: 0.1205 0.0782 0.6589 (multiplicity 8)  1 Be 1.99
Cl: 0.1543 0.4757 0.5192 (multiplicity 8)  2 Be 2.13
Cl: 0.1561 0.2685 0.1997 (multiplicity 8)  1 Be 1.98

=====

Entry 11:
Computed, not measured: a geometry-optimized Be3NbCl structure at the GGA-PBE level of DFT.

Properties
density of states at the Fermi level = 5.72 states/eV/cell
E_form (uncorrected) = 1738 meV per atom

Cell lengths 4.7707, 4.7707, 4.7707 Å; angles 90.00, 90.00, 90.00 degrees
With the nearest neighbours (Å) after each atom.
Space group Pm-3m (No. 221)
Unique sites:
Be: 0.0000 0.0000 0.5000 (multiplicity 3)  2 Nb 2.39
Nb: 0.0000 0.0000 0.0000 (multiplicity 1)  6 Be 2.39
Cl: 0.5000 0.5000 0.5000 (multiplicity 1)  12 Be 3.37

=====

Entry 12:
Computed, not measured: a geometry-optimized BeNbCl2 structure at the GGA-PBE level of DFT.

Properties
density of states at the Fermi level = 3.52 states/eV/cell
E_form (uncorrected) = -109 meV per atom

Cell lengths 3.0839, 3.0839, 26.4083 Å; angles 90.00, 90.00, 120.00 degrees
With the nearest neighbours (Å) after each atom.
Space group R-3m (No. 166, hexagonal axes)
Unique sites:
Be: 0.0000 0.0000 0.0000 (multiplicity 3)  2 Cl 2.57
Nb: 0.0000 0.0000 0.5000 (multiplicity 3)  6 Cl 2.55
Cl: 0.0000 0.0000 0.0973 (multiplicity 6)  3 Nb 2.55, 1 Be 2.57